DFT (PBE-GGA) results for a relaxed ZrPaInO6 crystal.

Output
**D(E_F)**: 0.0000 states/eV/atom
**Space-group type**: P-31c (163)
**M_tot**: 0.00 μB/cell
**Electronic total energy**: -0.3118 Ha/atom
**Density**: 7.03 g/cm3

Lattice parameters (Å, degrees): 5.473 5.473 9.703 90.00 90.00 120.00
Element x y z (fractional)
O1 0.663 0.989 0.870
O2 0.674 0.663 0.130
In1 0.667 0.333 0.750
Zr1 0.333 0.667 0.750
O3 0.989 0.326 0.130
Zr2 0.667 0.333 0.250
O4 0.337 0.326 0.370
O5 0.989 0.663 0.370
O6 0.011 0.674 0.870
O7 0.337 0.011 0.130
O8 0.326 0.989 0.630
O9 0.674 0.011 0.370
O10 0.326 0.337 0.870
In2 0.333 0.667 0.250
Pa1 0.000 0.000 0.000
O11 0.011 0.337 0.630
Pa2 0.000 0.000 0.500
O12 0.663 0.674 0.630